*1*
PmMg3Ag: relaxed, GGA-PBE.

## Properties
* calculated volume: 24.62 Å³/atom
* crystal system: monoclinic

Cell: 4.403 7.310 7.948 Å, 74.26 90.00 90.00°
Element x y z (fractional)
Ag 0.381 0.819 0.654
Ag 0.881 0.855 0.152
Mg 0.881 0.255 0.055
Mg 0.381 0.992 0.922
Mg 0.881 0.666 0.506
Mg 0.381 0.420 0.752
Mg 0.881 0.683 0.883
Mg 0.381 0.010 0.300
Pm 0.381 0.521 0.243
Pm 0.881 0.154 0.564

***

*2*
PmMg3Ag: relaxed, GGA-PBE.

## Properties
* calculated volume: 26.20 Å³/atom
* crystal system: cubic

Cell: 5.079 5.079 5.079 Å, 90.00 90.00 90.00°
Element x y z (fractional)
Mg 0.500 0.000 0.000
Mg 0.000 0.000 0.500
Mg 0.000 0.500 0.000
Pm 0.500 0.500 0.500
Ag 0.000 0.000 0.000

***

Stability verdict: *1*, ahead by 170 meV per atom

***

*1*
PmMg3Ag3: relaxed, GGA-PBE.

## Properties
* calculated volume: 27.02 Å³/atom
* crystal system: cubic

Cell: 7.232 7.232 7.232 Å, 90.00 90.00 90.00°
Element x y z (fractional)
Ag 0.250 0.000 0.500
Ag 0.750 0.000 0.500
Ag 0.500 0.250 0.000
Ag 0.000 0.500 0.250
Ag 0.500 0.750 0.000
Ag 0.000 0.500 0.750
Mg 0.500 0.000 0.250
Mg 0.750 0.500 0.000
Mg 0.500 0.000 0.750
Mg 0.000 0.250 0.500
Mg 0.250 0.500 0.000
Mg 0.000 0.750 0.500
Pm 0.500 0.500 0.500
Pm 0.000 0.000 0.000

***

*2*
PmMg3Ag3: relaxed, GGA-PBE.

## Properties
* calculated volume: 21.65 Å³/atom
* crystal system: hexagonal

Cell: 4.999 8.367 8.367 Å, 120.02 90.00 90.00°
Element x y z (fractional)
Ag 0.750 0.921 0.387
Ag 0.750 0.466 0.079
Ag 0.250 0.079 0.613
Ag 0.250 0.387 0.466
Ag 0.250 0.534 0.921
Ag 0.750 0.613 0.534
Pm 0.750 0.333 0.667
Pm 0.250 0.667 0.333
Mg 0.250 0.766 0.774
Mg 0.250 0.009 0.234
Mg 0.750 0.991 0.766
Mg 0.250 0.226 0.991
Mg 0.750 0.234 0.226
Mg 0.750 0.774 0.009

***

Stability verdict: *2*, ahead by 472 meV per atom

***

*1*
PmMg3Ag2: relaxed, GGA-PBE.

## Properties
* calculated volume: 23.26 Å³/atom
* crystal system: monoclinic

Cell: 4.596 9.295 8.063 Å, 122.09 90.00 104.31°
Element x y z (fractional)
Mg 0.647 0.295 0.798
Mg 0.313 0.625 0.531
Mg 0.353 0.705 0.202
Mg 0.687 0.375 0.469
Mg 0.056 0.112 0.419
Mg 0.944 0.888 0.581
Ag 0.230 0.460 0.752
Ag 0.508 0.015 0.185
Ag 0.492 0.985 0.815
Ag 0.770 0.540 0.248
Pm 0.879 0.758 0.926
Pm 0.121 0.242 0.074

***

*2*
PmMg3Ag2: relaxed, GGA-PBE.

## Properties
* calculated volume: 22.86 Å³/atom
* crystal system: hexagonal

Cell: 4.498 10.278 10.278 Å, 120.00 90.00 90.00°
Element x y z (fractional)
Mg 0.000 0.298 0.000
Mg 0.000 0.000 0.702
Mg 0.000 0.702 0.702
Mg 0.000 0.000 0.298
Mg 0.500 0.500 0.000
Mg 0.000 0.298 0.298
Mg 0.000 0.702 0.000
Mg 0.500 0.000 0.500
Mg 0.500 0.500 0.500
Ag 0.500 0.810 0.190
Ag 0.500 0.190 0.810
Ag 0.500 0.619 0.810
Ag 0.500 0.190 0.381
Ag 0.500 0.381 0.190
Ag 0.500 0.810 0.619
Pm 0.500 0.000 0.000
Pm 0.000 0.333 0.667
Pm 0.000 0.667 0.333

***

Stability verdict: *2*, ahead by 40 meV per atom